1.
Material: BeAgAs
Method: DFT, PBE-GGA
State: optimized geometry

a = 4.6649 Å, b = 3.7832 Å, c = 6.2228 Å
α = 90.00°, β = 105.45°, γ = 90.00°
Space group Pm (No. 6)
Symmetry-distinct sites (fractional):
1 Be 0.0000 0.0000 0.0000 x1
2 Be 0.4669 0.5000 0.5074 x1
3 Ag 0.3245 0.5000 0.8681 x1
4 Ag 0.6432 0.0000 0.2503 x1
5 As 0.0830 0.5000 0.2066 x1
6 As 0.6342 0.0000 0.6859 x1

Output
Energy of formation from the pure elements   0.0358 eV per atom
VASP energy   -3.71 eV per atom



2.
Material: BeAgAs2
Method: DFT, PBE-GGA
State: optimized geometry

a = 2.8016 Å, b = 2.8016 Å, c = 9.1559 Å
α = 90.00°, β = 90.00°, γ = 90.00°
Space group P4mm (No. 99)
Symmetry-distinct sites (fractional):
1 Be 0.0000 0.0000 0.0000 x1
2 Ag 0.5000 0.5000 0.1870 x1
3 As 0.0000 0.0000 0.4351 x1
4 As 0.5000 0.5000 0.8288 x1

Output
Energy of formation from the pure elements   0.2843 eV per atom
VASP energy   -3.68 eV per atom



3.
Material: BeAgAs2
Method: DFT, PBE-GGA
State: optimized geometry

a = 4.0175 Å, b = 3.3739 Å, c = 5.5850 Å
α = 90.00°, β = 106.80°, γ = 90.00°
Space group P2/m (No. 10)
Symmetry-distinct sites (fractional):
1 Be 0.0000 0.0000 0.0000 x1
2 Ag 0.5000 0.0000 0.5000 x1
3 As 0.2479 0.5000 0.8121 x2

Output
Energy of formation from the pure elements   0.2378 eV per atom
VASP energy   -3.73 eV per atom



4.
Material: BeAgAs2
Method: DFT, PBE-GGA
State: optimized geometry

a = 7.5166 Å, b = 2.8032 Å, c = 7.0553 Å
α = 90.00°, β = 97.62°, γ = 90.00°
Space group Cm (No. 8)
Symmetry-distinct sites (fractional):
1 Be 0.0000 0.0000 0.0000 x2
2 Ag 0.3943 0.0000 0.7189 x2
3 As 0.1547 0.5000 0.4678 x2
4 As 0.2327 0.5000 0.1311 x2

Output
Energy of formation from the pure elements   0.1877 eV per atom
VASP energy   -3.78 eV per atom



5.
Material: BeAgAs
Method: DFT, PBE-GGA
State: optimized geometry

a = 6.7639 Å, b = 3.7872 Å, c = 4.7100 Å
α = 90.00°, β = 116.95°, γ = 90.00°
Space group Cm (No. 8)
Symmetry-distinct sites (fractional):
1 Be 0.0000 0.0000 0.0000 x2
2 Ag 0.3236 0.0000 0.5492 x2
3 As 0.1984 0.5000 0.0750 x2

Output
Energy of formation from the pure elements   0.0408 eV per atom
VASP energy   -3.70 eV per atom



6.
Material: BeAgAs2
Method: DFT, PBE-GGA
State: optimized geometry

a = 4.2284 Å, b = 4.2284 Å, c = 7.6325 Å
α = 90.00°, β = 90.00°, γ = 90.00°
Space group I4/mmm (No. 139)
Symmetry-distinct sites (fractional):
1 Be 0.0000 0.0000 0.0000 x2
2 Ag 0.0000 0.0000 0.5000 x2
3 As 0.0000 0.5000 0.2500 x4

Output
Energy of formation from the pure elements   0.4924 eV per atom
VASP energy   -3.48 eV per atom



7.
Material: BeAgAs3
Method: DFT, PBE-GGA
State: optimized geometry

a = 4.5403 Å, b = 4.5403 Å, c = 4.5403 Å
α = 90.00°, β = 90.00°, γ = 90.00°
Space group Pm-3m (No. 221)
Symmetry-distinct sites (fractional):
1 Be 0.0000 0.0000 0.0000 x1
2 Ag 0.5000 0.5000 0.5000 x1
3 As 0.0000 0.0000 0.5000 x3

Output
Energy of formation from the pure elements   0.5389 eV per atom
VASP energy   -3.57 eV per atom



8.
Material: BeAgAs2
Method: DFT, PBE-GGA
State: optimized geometry

a = 3.6022 Å, b = 4.2786 Å, c = 9.1606 Å
α = 90.00°, β = 90.00°, γ = 90.00°
Space group Cmm2 (No. 35)
Symmetry-distinct sites (fractional):
1 Be 0.0000 0.0000 0.0000 x2
2 Ag 0.0000 0.5000 0.8068 x2
3 As 0.0000 0.0000 0.5545 x2
4 As 0.0000 0.5000 0.1750 x2

Output
Energy of formation from the pure elements   0.2759 eV per atom
VASP energy   -3.69 eV per atom



9.
Material: BeAgAs
Method: DFT, PBE-GGA
State: optimized geometry

a = 6.1996 Å, b = 4.7049 Å, c = 6.8066 Å
α = 90.00°, β = 90.07°, γ = 90.00°
Space group C2/m (No. 12)
Symmetry-distinct sites (fractional):
1 Be 0.0000 0.2494 0.0000 x4
2 Ag 0.2402 0.0000 0.6078 x4
3 As 0.2493 0.5000 0.8080 x4

Output
Energy of formation from the pure elements   0.0256 eV per atom
VASP energy   -3.72 eV per atom



10.
Material: BeAgAs
Method: DFT, PBE-GGA
State: optimized geometry

a = 3.0151 Å, b = 3.0151 Å, c = 5.9536 Å
α = 90.00°, β = 90.00°, γ = 120.00°
Space group P3m1 (No. 156)
Symmetry-distinct sites (fractional):
1 Be 0.0000 0.0000 0.0000 x1
2 Ag 0.6667 0.3333 0.3071 x1
3 As 0.3333 0.6667 0.7256 x1

Output
Energy of formation from the pure elements   0.2957 eV per atom
VASP energy   -3.45 eV per atom



11.
Material: BeAgAs
Method: DFT, PBE-GGA
State: optimized geometry

a = 3.8395 Å, b = 3.8681 Å, c = 8.9572 Å
α = 88.01°, β = 89.99°, γ = 60.25°
Space group P1 (No. 1)
Symmetry-distinct sites (fractional):
1 Be 0.0000 0.0000 0.0000 x1
2 Be 0.3354 0.9978 0.5000 x1
3 Ag 0.0252 0.3132 0.7478 x1
4 Ag 0.9964 0.3142 0.2479 x1
5 As 0.3343 0.3446 0.0007 x1
6 As 0.6568 0.3424 0.5008 x1

Output
Energy of formation from the pure elements   0.0304 eV per atom
VASP energy   -3.71 eV per atom



12.
Material: BeAgAs
Method: DFT, PBE-GGA
State: optimized geometry

a = 3.8928 Å, b = 4.9557 Å, c = 5.7144 Å
α = 104.85°, β = 91.05°, γ = 90.16°
Space group P1 (No. 1)
Symmetry-distinct sites (fractional):
1 Be 0.0000 0.0000 0.0000 x1
2 Be 0.4854 0.5251 0.4684 x1
3 Ag 0.2373 0.9929 0.4320 x1
4 Ag 0.7610 0.3453 0.7947 x1
5 As 0.4922 0.8440 0.8317 x1
6 As 0.9796 0.4191 0.2764 x1

Output
Energy of formation from the pure elements   0.0299 eV per atom
VASP energy   -3.71 eV per atom



13.
Material: BeAgAs
Method: DFT, PBE-GGA
State: optimized geometry

a = 5.0559 Å, b = 3.8451 Å, c = 5.5859 Å
α = 90.00°, β = 100.45°, γ = 90.00°
Space group P2_1/m (No. 11)
Symmetry-distinct sites (fractional):
1 Be 0.0648 0.2500 0.1094 x2
2 Ag 0.1935 0.2500 0.6094 x2
3 As 0.2819 0.7500 0.2167 x2

Output
Energy of formation from the pure elements   0.0593 eV per atom
VASP energy   -3.68 eV per atom



14.
Material: BeAgAs
Method: DFT, PBE-GGA
State: optimized geometry

a = 3.8399 Å, b = 4.2315 Å, c = 6.2177 Å
α = 90.00°, β = 90.96°, γ = 90.00°
Space group P2_1/m (No. 11)
Symmetry-distinct sites (fractional):
1 Be 0.1917 0.2500 0.4852 x2
2 Ag 0.2441 0.2500 0.0528 x2
3 As 0.3037 0.7500 0.3174 x2

Output
Energy of formation from the pure elements   0.0334 eV per atom
VASP energy   -3.71 eV per atom



15.
Material: BeAgAs
Method: DFT, PBE-GGA
State: optimized geometry

a = 3.7996 Å, b = 3.7996 Å, c = 4.0889 Å
α = 90.00°, β = 90.00°, γ = 120.00°
Space group P3m1 (No. 156)
Symmetry-distinct sites (fractional):
1 Be 0.0000 0.0000 0.0000 x1
2 Ag 0.6667 0.3333 0.4985 x1
3 As 0.3333 0.6667 0.9989 x1

Output
Energy of formation from the pure elements   0.1152 eV per atom
VASP energy   -3.63 eV per atom



16.
Material: BeAgAs
Method: DFT, PBE-GGA
State: optimized geometry

a = 3.8441 Å, b = 3.8467 Å, c = 8.7484 Å
α = 89.97°, β = 89.93°, γ = 60.04°
Space group P1 (No. 1)
Symmetry-distinct sites (fractional):
1 Be 0.0000 0.0000 0.0000 x1
2 Be 0.0582 0.8777 0.5000 x1
3 Ag 0.4079 0.9396 0.2497 x1
4 Ag 0.4085 0.9399 0.7495 x1
5 As 0.3399 0.3341 0.9996 x1
6 As 0.7317 0.5438 0.4995 x1

Output
Energy of formation from the pure elements   0.0316 eV per atom
VASP energy   -3.71 eV per atom



17.
Material: BeAgAs2
Method: DFT, PBE-GGA
State: optimized geometry

a = 3.7778 Å, b = 3.9159 Å, c = 4.6540 Å
α = 90.00°, β = 90.00°, γ = 90.00°
Space group Pmmm (No. 47)
Symmetry-distinct sites (fractional):
1 Be 0.0000 0.0000 0.0000 x1
2 Ag 0.0000 0.5000 0.5000 x1
3 As 0.5000 0.0000 0.5000 x1
4 As 0.5000 0.5000 0.0000 x1

Output
Energy of formation from the pure elements   0.4997 eV per atom
VASP energy   -3.47 eV per atom



18.
Material: BeAgAs2
Method: DFT, PBE-GGA
State: optimized geometry

a = 5.3554 Å, b = 7.1029 Å, c = 4.1874 Å
α = 90.00°, β = 116.95°, γ = 90.00°
Space group C2/m (No. 12)
Symmetry-distinct sites (fractional):
1 Be 0.0000 0.0000 0.0000 x2
2 Ag 0.0000 0.5000 0.0000 x2
3 As 0.2500 0.2500 0.5000 x4

Output
Energy of formation from the pure elements   0.3824 eV per atom
VASP energy   -3.59 eV per atom



19.
Material: Be3AgAs
Method: DFT, PBE-GGA
State: optimized geometry

a = 4.2820 Å, b = 4.2820 Å, c = 4.2820 Å
α = 90.00°, β = 90.00°, γ = 90.00°
Space group Pm-3m (No. 221)
Symmetry-distinct sites (fractional):
1 Be 0.0000 0.0000 0.5000 x3
2 Ag 0.5000 0.5000 0.5000 x1
3 As 0.0000 0.0000 0.0000 x1

Output
Energy of formation from the pure elements   0.8651 eV per atom
VASP energy   -2.87 eV per atom



20.
Material: BeAgAs
Method: DFT, PBE-GGA
State: optimized geometry

a = 3.8299 Å, b = 4.8513 Å, c = 6.7153 Å
α = 84.06°, β = 89.99°, γ = 66.91°
Space group P1 (No. 1)
Symmetry-distinct sites (fractional):
1 Be 0.0000 0.0000 0.0000 x1
2 Be 0.4759 0.0468 0.5026 x1
3 Ag 0.1881 0.6221 0.7241 x1
4 Ag 0.7425 0.5124 0.4055 x1
5 As 0.0185 0.9614 0.3308 x1
6 As 0.4789 0.0424 0.8380 x1

Output
Energy of formation from the pure elements   0.0398 eV per atom
VASP energy   -3.70 eV per atom



Number 1: M_tot 0.00 μB/cell. Number 2: M_tot 0.00 μB/cell. Number 3: M_tot 0.00 μB/cell. Number 4: M_tot 0.00 μB/cell. Number 5: M_tot 0.00 μB/cell. Number 6: M_tot 0.00 μB/cell. Number 7: M_tot 0.00 μB/cell. Number 8: M_tot 0.00 μB/cell. Number 9: M_tot 0.00 μB/cell. Number 10: M_tot 0.00 μB/cell. Number 11: M_tot 0.00 μB/cell. Number 12: M_tot 0.00 μB/cell. Number 13: M_tot 0.00 μB/cell. Number 14: M_tot 0.00 μB/cell. Number 15: M_tot 0.00 μB/cell. Number 16: M_tot 0.00 μB/cell. Number 17: M_tot 0.00 μB/cell. Number 18: M_tot 0.00 μB/cell. Number 19: M_tot 0.00 μB/cell. Number 20: M_tot 0.00 μB/cell.